Entry 1:
Compound: BaRe3
Source: Alexandria
Functional: PBE-GGA
Structure: relaxed

The structure in POSCAR format:
```
BaRe3
1.0
-1.0569 -1.3311 -5.1520
0.8501 -4.5841 2.7740
-2.6717 -0.1416 0.5847
Re Ba
3 1
direct
0.5000 0.0000 0.5000
0.5000 0.5000 0.0000
0.0000 0.5000 0.5000
0.0000 0.0000 0.0000
```

Computed properties:
space-group type	Cmmm
formation energy from the elements	1726	meV per atom
distance to the lowest polymorph of the same formula	4.516	eV per formula unit
DOS(E_F)	1.743	states/eV per atom



Entry 2:
Compound: Ba5Re
Source: Alexandria
Functional: PBE-GGA
Structure: relaxed

The structure in POSCAR format:
```
Ba5Re
1.0
2.5414 -8.6110 0.0000
2.5414 8.6110 0.0000
0.0000 0.0000 6.2650
Ba Re
5 1
direct
0.3437 0.6563 0.5000
0.1239 0.8761 0.0000
0.0000 0.0000 0.5000
0.6563 0.3437 0.5000
0.8761 0.1239 0.0000
0.5000 0.5000 0.0000
```

Computed properties:
space-group type	Cmmm
formation energy from the elements	697	meV per atom
distance to the lowest polymorph of the same formula	0.741	eV per formula unit
DOS(E_F)	1.329	states/eV per atom



Number 1 is which compound? BaRe3